A crystal of AgW2 relaxed with PBEsol. Source: the Alexandria database, functional SCAN.

Calculated values
Density, g/cm3: 16.182
Final energy, eV per atom: -56.20
Energy of formation from the pure elements, eV/f.u.: 2.16

a b c (Å): 5.102 5.102 5.102
angles (deg): 142.54 142.54 54.02
Sites, in units of the cell vectors:
Ag 0.000 0.000 0.000
W 0.319 0.319 0.000
W 0.681 0.681 0.000

***

A crystal of MgTiNb3 relaxed with PBEsol. Source: the Alexandria database, functional SCAN.

Calculated values
Density, g/cm3: 5.662
Final energy, eV per atom: -23.03
Energy of formation from the pure elements, eV/f.u.: 5.23

a b c (Å): 4.686 4.686 4.686
angles (deg): 90.00 90.00 90.00
Sites, in units of the cell vectors:
Mg 0.000 0.000 0.000
Ti 0.500 0.500 0.500
Nb 0.000 0.500 0.500
Nb 0.500 0.000 0.500
Nb 0.500 0.500 0.000

***

A crystal of FeBiBr2 relaxed with PBEsol. Source: the Alexandria database, functional SCAN.

Calculated values
ΔE_f (raw), kJ per mole of atoms: -6.4
Density, g/cm3: 6.906
Final energy, eV per atom: -33.97

a b c (Å): 10.164 10.164 10.164
angles (deg): 19.48 19.48 19.48
Sites, in units of the cell vectors:
Fe 0.000 0.000 0.000
Bi 0.500 0.500 0.500
Br 0.377 0.377 0.377
Br 0.623 0.623 0.623

***

A crystal of La2AgAs relaxed with PBEsol. Source: the Alexandria database, functional SCAN.

Calculated values
Density, g/cm3: 7.792
Final energy, eV per atom: -35.21
Energy of formation from the pure elements, eV/f.u.: -3.07

a b c (Å): 6.080 6.080 6.080
angles (deg): 141.19 135.24 60.70
Sites, in units of the cell vectors:
La 0.000 0.000 0.000
La 0.730 0.230 0.500
Ag 0.266 0.766 0.500
As 0.458 0.458 0.000

***

A crystal of Li5Mn3Ni2O10 relaxed with PBEsol. Source: the Alexandria database, functional SCAN.

Calculated values
ΔE_f (raw), kJ per mole of atoms: -196.0
Density, g/cm3: 4.641
Final energy, eV per atom: -10.10

a b c (Å): 4.929 5.007 7.694
angles (deg): 107.96 102.97 99.10
Sites, in units of the cell vectors:
Li 0.000 0.000 0.000
Li 0.114 0.214 0.729
Li 0.298 0.577 0.076
Li 0.702 0.423 0.924
Li 0.886 0.786 0.271
Mn 0.188 0.394 0.391
Mn 0.500 0.000 0.500
Mn 0.812 0.606 0.609
Ni 0.399 0.804 0.809
Ni 0.601 0.196 0.191
O 0.030 0.595 0.830
O 0.139 0.768 0.544
O 0.261 0.031 0.277
O 0.360 0.189 0.951
O 0.457 0.389 0.630
O 0.543 0.611 0.370
O 0.640 0.811 0.049
O 0.739 0.969 0.723
O 0.861 0.232 0.456
O 0.970 0.405 0.170

***

A crystal of LiNiSb2 relaxed with PBEsol. Source: the Alexandria database, functional SCAN.

Calculated values
ΔE_f (raw), kJ per mole of atoms: -13.2
Density, g/cm3: 7.327
Final energy, eV per atom: -23.41
Offset from the most stable computed form, eV/atom: 0.000

a b c (Å): 3.975 5.083 5.083
angles (deg): 43.02 90.00 90.00
Sites, in units of the cell vectors:
Li 0.000 0.000 0.000
Ni 0.500 0.842 0.842
Sb 0.000 0.284 0.284
Sb 0.500 0.552 0.552

***

A crystal of InBi2S relaxed with PBEsol. Source: the Alexandria database, functional SCAN.

Calculated values
ΔE_f (raw), kJ per mole of atoms: 21.1
Density, g/cm3: 9.477
Final energy, eV per atom: -49.82

a b c (Å): 5.192 5.192 5.192
angles (deg): 60.00 60.00 60.00
Sites, in units of the cell vectors:
In 0.000 0.000 0.000
Bi 0.250 0.250 0.250
Bi 0.750 0.750 0.750
S 0.500 0.500 0.500

***

A crystal of CsSm2Cl7 relaxed with PBEsol. Source: the Alexandria database, functional SCAN.

Calculated values
ΔE_f (raw), kJ per mole of atoms: -245.5
Density, g/cm3: 3.749
Final energy, eV per atom: -20.80

a b c (Å): 13.472 7.028 12.757
angles (deg): 90.00 90.00 90.00
Sites, in units of the cell vectors:
Cs 0.040 0.250 0.199
Cs 0.460 0.750 0.699
Cs 0.540 0.250 0.301
Cs 0.960 0.750 0.801
Sm 0.238 0.250 0.544
Sm 0.247 0.250 0.849
Sm 0.253 0.750 0.349
Sm 0.262 0.750 0.044
Sm 0.738 0.250 0.956
Sm 0.747 0.250 0.651
Sm 0.753 0.750 0.151
Sm 0.762 0.750 0.456
Cl 0.110 0.750 0.193
Cl 0.123 0.009 0.427
Cl 0.123 0.491 0.427
Cl 0.130 0.009 0.965
Cl 0.130 0.491 0.965
Cl 0.177 0.006 0.698
Cl 0.177 0.494 0.698
Cl 0.323 0.506 0.198
Cl 0.323 0.994 0.198
Cl 0.370 0.509 0.465
Cl 0.370 0.991 0.465
Cl 0.377 0.509 0.927
Cl 0.377 0.991 0.927
Cl 0.390 0.250 0.693
Cl 0.610 0.750 0.307
Cl 0.623 0.009 0.073
Cl 0.623 0.491 0.073
Cl 0.630 0.009 0.535
Cl 0.630 0.491 0.535
Cl 0.677 0.006 0.802
Cl 0.677 0.494 0.802
Cl 0.823 0.506 0.302
Cl 0.823 0.994 0.302
Cl 0.870 0.509 0.035
Cl 0.870 0.991 0.035
Cl 0.877 0.509 0.573
Cl 0.877 0.991 0.573
Cl 0.890 0.250 0.807

***

A crystal of SrCuNi2C relaxed with PBEsol. Source: the Alexandria database, functional SCAN.

Calculated values
Density, g/cm3: 4.799
Final energy, eV per atom: -14.32
Energy of formation from the pure elements, eV/f.u.: 8.34

a b c (Å): 4.247 4.247 5.381
angles (deg): 90.00 90.00 90.00
Sites, in units of the cell vectors:
Sr 0.000 0.000 0.000
Cu 0.000 0.000 0.500
Ni 0.000 0.500 0.500
Ni 0.500 0.000 0.500
C 0.500 0.500 0.000

***

A crystal of CrHg2Cl relaxed with PBEsol. Source: the Alexandria database, functional SCAN.

Calculated values
ΔE_f (raw), kJ per mole of atoms: -9.7
Density, g/cm3: 9.350
Final energy, eV per atom: -40.77
Offset from the most stable computed form, eV/atom: 0.121

a b c (Å): 3.606 4.303 5.592
angles (deg): 90.00 90.00 90.00
Sites, in units of the cell vectors:
Cr 0.000 0.000 0.000
Hg 0.000 0.500 0.500
Hg 0.500 0.000 0.500
Cl 0.500 0.500 0.000

***

A crystal of Sc2InPb relaxed with PBEsol. Source: the Alexandria database, functional SCAN.

Calculated values
Density, g/cm3: 7.622
Final energy, eV per atom: -34.96
Energy of formation from the pure elements, eV/f.u.: -2.20

a b c (Å): 3.268 4.235 6.484
angles (deg): 90.00 90.00 90.00
Sites, in units of the cell vectors:
Sc 0.000 0.000 0.244
Sc 0.000 0.000 0.756
In 0.500 0.500 0.000
Pb 0.500 0.500 0.500

***

A crystal of Co2AsPb relaxed with PBEsol. Source: the Alexandria database, functional SCAN.

Calculated values
Density, g/cm3: 9.980
Final energy, eV per atom: -32.41
Energy of formation from the pure elements, eV/f.u.: 0.93
Offset from the most stable computed form, eV/atom: 0.000

a b c (Å): 3.025 3.025 7.274
angles (deg): 90.00 90.00 90.00
Sites, in units of the cell vectors:
Co 0.000 0.000 0.000
Co 0.500 0.500 0.169
As 0.000 0.000 0.336
Pb 0.500 0.500 0.744

***

Among the records above, which one has the highest density?
AgW2

***

Among the records above, which one has the highest density?
AgW2